! GGA-PBE ErAl3Os, optimized geometry; values from VASP
! * space-group type: No. 221
! * E: -89.5 eV/cell
&SYSTEM
  ibrav = 0, nat = 15, ntyp = 3
/
ATOMIC_SPECIES
Er 167.26 Er.upf
Al 26.98 Al.upf
Os 190.23 Os.upf
ATOMIC_POSITIONS crystal
Er 0.000 0.500 0.500
Er 0.500 0.000 0.500
Er 0.500 0.500 0.000
Al 0.500 0.500 0.500
Al 0.210 0.210 0.210
Al 0.790 0.790 0.210
Al 0.790 0.210 0.790
Al 0.210 0.790 0.790
Al 0.210 0.210 0.790
Al 0.790 0.790 0.790
Al 0.210 0.790 0.210
Al 0.790 0.210 0.210
Os 0.500 0.000 0.000
Os 0.000 0.500 0.000
Os 0.000 0.000 0.500
CELL_PARAMETERS angstrom
-4.242 -3.125 -3.633
4.009 0.343 -4.977
2.625 -5.575 1.730



! GGA-PBE Dy2MgHg, optimized geometry; values from VASP
! * space-group type: No. 225
! * E: -12.1 eV/cell
&SYSTEM
  ibrav = 0, nat = 4, ntyp = 3
/
ATOMIC_SPECIES
Mg 24.30 Mg.upf
Hg 200.59 Hg.upf
Dy 162.50 Dy.upf
ATOMIC_POSITIONS crystal
Mg 0.500 0.500 0.500
Hg 0.000 0.000 0.000
Dy 0.250 0.250 0.250
Dy 0.750 0.750 0.750
CELL_PARAMETERS angstrom
-3.895 -3.216 1.586
-0.262 -1.548 5.056
-3.844 1.845 3.138



Q: What is the formula in the second record?
A: Dy2MgHg



Q: The lowest E belongs to which entry?
A: ErAl3Os



Q: Number 2 is which compound?
A: Dy2MgHg



Q: What is the E in the second record?
A: -12.1 eV/cell